Entry from OQMD: SrSmAsO after structural relaxation (PBE-GGA).

Computed properties:
Space group: Pmc2_1
VASP energy in eV per atom: -5.9610

Cell: 4.216 6.740 7.191 Å, 90.00 90.00 90.00°
Element x y z (fractional)
1 Sr 0.500 0.548 0.602
2 Sr 0.500 0.452 0.102
3 As 0.000 0.726 0.328
4 As 0.000 0.274 0.828
5 O 0.500 0.753 0.882
6 O 0.500 0.247 0.382
7 Sm 0.000 0.866 0.943
8 Sm 0.000 0.134 0.443